Here is an optimized crystal structure of VRe2Si from Alexandria. Energies are from PBE.

Computed properties:
For the density of states at the Fermi level, the calculation gives 6.937 states/eV/cell. Its space group is I-42d. For the formation energy without anion corrections, the calculation gives 0.45 eV per atom.

Geometry as POSCAR:
```
VRe2Si
1.0
-3.3937 0.5173 -1.5460
1.3834 -0.9754 -3.3630
-3.0476 -8.7521 -0.8226
Re Si V
4 2 2
Cartesian
-2.5593 -2.0097 -1.5236 Re
-0.4722 -2.7100 -2.5695 Re
-2.9782 -6.7792 -2.6072 Re
-4.1062 -6.9217 -4.7631 Re
-1.0052 -0.2291 -2.4545 Si
-1.3347 -4.9783 -3.3201 Si
0.0000 0.0000 0.0000 V
-3.7233 -4.2320 -2.4116 V
```